Entry 1:
AcPm5Rh2 | Alexandria | PBE | optimized geometry; SG = Immm, No. 71; total magnetization = 0.00 μB per cell; Fermi-level density of states = 9.8 states/eV/f.u.; formation energy = -0.35 eV/atom; volume = 255 Å³/cell
1.0
-2.413 1.219 3.183
-7.462 -5.353 -0.869
-2.400 -7.972 3.972
Pm Rh Ac
5 2 1
Cartesian
-3.675 -4.365 4.364
-4.931 -6.663 1.552
-6.202 -3.058 1.947
-8.600 -7.742 1.922
-6.074 -9.049 4.338
-3.562 -3.990 1.566
-8.713 -8.118 4.719
0.000 0.000 0.000

Entry 2:
Li2CrCl | Alexandria | PBE | optimized geometry; SG = Amm2, No. 38; total magnetization = 4.97 μB per cell; Fermi-level density of states = 1.2 states/eV/f.u.; volume = 78 Å³/cell; energy above the most stable polymorph in this dataset = 36.0 kJ/mol of formula units
1.0
-1.631 -2.041 -2.152
2.207 0.850 -2.478
5.093 -4.675 0.574
Li Cr Cl
2 1 1
Cartesian
2.155 0.686 -2.284
1.354 -2.187 -1.614
4.428 -4.283 -1.955
3.588 -1.145 -1.634

Entry 3:
Pr6DyY2 | Alexandria | PBE | optimized geometry; SG = P4_2/mnm, No. 136; total magnetization = 0.00 μB per cell; Fermi-level density of states = 16.3 states/eV/f.u.; formation energy = 0.60 eV/atom; volume = 740 Å³/cell; energy above the most stable polymorph in this dataset = 427.9 kJ/mol of formula units
1.0
-4.199 6.433 3.320
-7.227 -3.946 -1.493
0.528 -4.568 9.520
Y Dy Pr
4 2 12
Cartesian
0.176 -1.524 3.176
-5.273 -2.565 8.850
0.352 -3.044 6.344
-5.625 0.484 2.497
0.000 0.000 0.000
-5.449 -1.041 5.674
-2.805 -0.876 3.656
-6.416 -2.224 1.239
-2.959 0.644 0.473
-8.093 -1.205 7.691
-2.630 -2.394 6.818
-4.835 3.194 3.750
-6.063 -5.275 7.597
-4.482 0.143 10.109
-6.233 -3.728 4.428
-8.268 0.313 4.529
-4.665 1.647 6.920
-8.467 1.843 1.354

Q: What is the Fermi-level density of states in the second record?
A: 1.2 states/eV/f.u.

Copy entry 3 word for word.
Pr6DyY2 | Alexandria | PBE | optimized geometry; SG = P4_2/mnm, No. 136; total magnetization = 0.00 μB per cell; Fermi-level density of states = 16.3 states/eV/f.u.; formation energy = 0.60 eV/atom; volume = 740 Å³/cell; energy above the most stable polymorph in this dataset = 427.9 kJ/mol of formula units
1.0
-4.199 6.433 3.320
-7.227 -3.946 -1.493
0.528 -4.568 9.520
Y Dy Pr
4 2 12
Cartesian
0.176 -1.524 3.176
-5.273 -2.565 8.850
0.352 -3.044 6.344
-5.625 0.484 2.497
0.000 0.000 0.000
-5.449 -1.041 5.674
-2.805 -0.876 3.656
-6.416 -2.224 1.239
-2.959 0.644 0.473
-8.093 -1.205 7.691
-2.630 -2.394 6.818
-4.835 3.194 3.750
-6.063 -5.275 7.597
-4.482 0.143 10.109
-6.233 -3.728 4.428
-8.268 0.313 4.529
-4.665 1.647 6.920
-8.467 1.843 1.354